No. 1
The following is a PBE calculation of CdNiAs2 after structural relaxation, from Alexandria via LeMat-Bulk.

Output
Its calculated formation energy is 4.5 kJ/mol of atoms. The calculation puts the uncorrected energy at -3.95 eV per atom. Its density of states at the Fermi level is 0.7 states/eV per cell. The value obtained for the magnetic moment is 0.00 μB/f.u.

CIF file:
```
data_CdNiAs2
_cell_length_a 2.975
_cell_length_b 2.975
_cell_length_c 8.227
_cell_angle_alpha 90.00
_cell_angle_beta 90.00
_cell_angle_gamma 90.00
_space_group_name_H-M_alt 'P 4 m m'
_space_group_IT_number 99
_space_group_name_Hall 'P 4 -2'
loop_
_atom_site_label
_atom_site_type_symbol
_atom_site_fract_x
_atom_site_fract_y
_atom_site_fract_z
Cd1 Cd 0.000 0.000 0.000
Ni1 Ni 0.500 0.500 0.232
As1 As 0.000 0.000 0.385
As2 As 0.500 0.500 0.734
```

=====

No. 2
The following is a PBE calculation of CdNiAs2 after structural relaxation, from Alexandria via LeMat-Bulk.

Output
Its calculated formation energy is 26.6 kJ/mol of atoms. The calculation puts the uncorrected energy at -3.72 eV per atom. Its density of states at the Fermi level is 1.7 states/eV per cell. The value obtained for the magnetic moment is 0.00 μB/f.u.

CIF file:
```
data_CdNiAs2
_cell_length_a 4.207
_cell_length_b 4.207
_cell_length_c 3.987
_cell_angle_alpha 90.00
_cell_angle_beta 90.00
_cell_angle_gamma 90.00
_space_group_name_H-M_alt 'P 4/m m m'
_space_group_IT_number 123
_space_group_name_Hall '-P 4 2'
loop_
_atom_site_label
_atom_site_type_symbol
_atom_site_fract_x
_atom_site_fract_y
_atom_site_fract_z
Cd1 Cd 0.000 0.000 0.000
Ni1 Ni 0.500 0.500 0.000
As1 As 0.000 0.500 0.500
```

=====

> Look up the calculated formation energy of the first one.

4.5 kJ/mol of atoms